A plane-wave DFT calculation with PBE was carried out for a geometry-optimized EuPuMgGa structure.

Values from the calculation:
ΔH_f (0 K) in eV per formula unit: -0.28
SG: F-43m (216)
Density of states at the Fermi level in states/eV/f.u.: 16.33

a b c (Å): 5.3122 5.3122 5.3122
angles (deg): 60.00 60.00 60.00
Sites, in units of the cell vectors:
1 Eu 0.0000 0.0000 0.0000
2 Pu 0.5000 0.5000 0.5000
3 Mg 0.7500 0.7500 0.7500
4 Ga 0.2500 0.2500 0.2500